No. 1
Computed, not measured: a relaxed NaCrGaO4 crystal at the PBE+U level of DFT.

Geometry as POSCAR:
```
NaCrGaO4
1.0
5.3556 0.0000 0.0000
0.0000 5.2701 0.0000
-2.6747 0.0000 6.5458
Na Cr Ga O
2 2 2 8
direct
0.0952 0.2500 0.1488 Na
0.9048 0.7500 0.8512 Na
0.3105 0.7500 0.4591 Cr
0.6895 0.2500 0.5409 Cr
0.2460 0.2500 0.6785 Ga
0.7540 0.7500 0.3215 Ga
0.0036 0.2500 0.8050 O
0.0511 0.7500 0.5764 O
0.4928 0.5088 0.3280 O
0.4928 0.9912 0.3280 O
0.5072 0.0088 0.6720 O
0.5072 0.4912 0.6720 O
0.9489 0.2500 0.4236 O
0.9964 0.7500 0.1950 O
```

**Space group**: P2_1/m (11)

No. 2
Computed, not measured: a relaxed Na4Cr3GaO8 crystal at the PBE+U level of DFT.

Geometry as POSCAR:
```
Na4Cr3GaO8
1.0
3.0404 1.7554 5.3740
-3.0404 1.7554 5.3740
0.0000 -3.5107 5.3740
Na Cr Ga O
4 3 1 8
direct
0.0000 0.0000 0.0000 Na
0.0000 0.5000 0.5000 Na
0.5000 0.0000 0.5000 Na
0.5000 0.5000 0.0000 Na
0.0000 0.0000 0.5000 Cr
0.0000 0.5000 0.0000 Cr
0.5000 0.0000 0.0000 Cr
0.5000 0.5000 0.5000 Ga
0.2323 0.2323 0.2323 O
0.2334 0.7324 0.7324 O
0.2676 0.2676 0.7666 O
0.2676 0.7666 0.2676 O
0.7324 0.2334 0.7324 O
0.7324 0.7324 0.2334 O
0.7666 0.2676 0.2676 O
0.7677 0.7677 0.7677 O
```

**Space group**: R-3m (166)

No. 3
Computed, not measured: a relaxed Na3CrGa3O8 crystal at the PBE+U level of DFT.

Geometry as POSCAR:
```
Na3CrGa3O8
1.0
2.9907 1.7267 5.4860
-2.9907 1.7267 5.4860
0.0000 -3.4533 5.4860
Na Cr Ga O
3 1 3 8
direct
0.0000 0.5000 0.5000 Na
0.5000 0.0000 0.5000 Na
0.5000 0.5000 0.0000 Na
0.5000 0.5000 0.5000 Cr
0.0000 0.0000 0.5000 Ga
0.0000 0.5000 0.0000 Ga
0.5000 0.0000 0.0000 Ga
0.2305 0.2305 0.2305 O
0.2420 0.7239 0.7239 O
0.2761 0.2761 0.7580 O
0.2761 0.7580 0.2761 O
0.7239 0.2420 0.7239 O
0.7239 0.7239 0.2420 O
0.7580 0.2761 0.2761 O
0.7695 0.7695 0.7695 O
```

**Space group**: R-3m (166)

Asked for mass density across the records above, the calculation gives 3752; 4300; 4476 kg/m³ in order.
Asked for volume across the records above, the calculation gives 92.38; 172.09; 169.98 Å³/f.u. in order.
Asked for electronic total energy across the records above, the calculation gives -6.090; -6.301; -5.783 eV per atom in order.